Here is a geometry-optimized LiAg6Sn structure from Alexandria via LeMat-Bulk. Energies are from PBE.

Geometry as POSCAR:
```
LiAg6Sn
1.0
4.9044 0.0000 0.0000
0.0000 5.8684 0.0000
0.0000 0.0000 10.1464
Li Ag Sn
2 12 2
Cartesian
0.0000 0.0000 0.0000 Li
0.0000 2.9342 5.0732 Li
0.0000 0.0000 5.1016 Ag
0.0000 1.4404 7.5938 Ag
0.0000 1.4939 2.5206 Ag
0.0000 2.9342 0.0284 Ag
0.0000 4.3746 2.5206 Ag
0.0000 4.4281 7.5938 Ag
2.4522 0.0000 8.4605 Ag
2.4522 1.4546 0.8295 Ag
2.4522 1.4797 5.9027 Ag
2.4522 2.9342 3.3873 Ag
2.4522 4.3888 5.9027 Ag
2.4522 4.4139 0.8295 Ag
2.4522 0.0000 3.3733 Sn
2.4522 2.9342 8.4465 Sn
```

Properties
Its density of states at the Fermi level is 2.715 states/eV per cell. The formation energy comes out at -0.057 eV per atom. The total DFT energy (no corrections) comes out at -2.94 eV per atom.